This record from Alexandria via LeMat-Bulk describes a relaxed structure of Ba3TlPb. The functional is PBE.

Properties
* mass density: 5.57 g cm⁻³
* distance to the lowest polymorph of the same formula: 0 meV per atom
* DOS at the Fermi energy: 1.18 states/eV/atom

abc: 4.2933 11.3299 11.3320
angles: 62.96 90.00 89.99
With the nearest neighbours (Å) after each atom.
Space group P1 (No. 1)
Unique sites:
Ba 0.0000 0.0000 0.0000  2 Tl 3.60, 2 Pb 3.69-3.70
Ba 0.9999 0.1638 0.4154  2 Tl 3.60-3.61, 2 Pb 3.69-3.70
Ba 0.0013 0.3738 0.6267  2 Tl 3.60, 2 Pb 3.69
Ba 0.0012 0.7901 0.7884  2 Tl 3.60, 2 Pb 3.69
Ba 0.5005 0.7309 0.3570  2 Tl 3.54, 2 Pb 3.59
Ba 0.5008 0.4331 0.0587  2 Tl 3.54, 2 Pb 3.59
Tl 0.4998 0.0820 0.2076  6 Ba 3.54-3.61
Tl 0.5015 0.5817 0.7079  6 Ba 3.54-3.60
Pb 0.0007 0.5817 0.2082  4 Ba 3.59
Pb 0.5007 0.0819 0.7077  8 Ba 3.69-3.70